Record 1
The following is a PBE calculation of an optimized crystal structure of ZnOsSe2, from Alexandria.

```
ZnOsSe2
1.0
3.0252 0.0000 0.0000
0.0000 3.0252 0.0000
0.0000 0.0000 8.6334
Zn Os Se
1 1 2
direct
0.0000 0.0000 0.0000
0.0000 0.0000 0.5000
0.5000 0.5000 0.3163
0.5000 0.5000 0.6837
```

Calculated values
formation energy (no corrections)	9.28	kcal/mol of atoms
magnetic moment	0.00	μB/atom
calculated density	8.7	g/cm3

Record 2
The following is a PBE calculation of an optimized crystal structure of Dy8SnGe3Te4, from Alexandria.

```
Dy8SnGe3Te4
1.0
4.2824 2.4724 7.1143
-4.2824 2.4724 7.1143
0.0000 -4.9449 7.1143
Dy Sn Ge Te
8 1 3 4
direct
0.2328 0.7462 0.7462
0.2395 0.2395 0.2395
0.2538 0.2538 0.7672
0.2538 0.7672 0.2538
0.7462 0.2328 0.7462
0.7462 0.7462 0.2328
0.7605 0.7605 0.7605
0.7672 0.2538 0.2538
0.5000 0.5000 0.5000
0.0000 0.0000 0.5000
0.0000 0.5000 0.0000
0.5000 0.0000 0.0000
0.0000 0.0000 0.0000
0.0000 0.5000 0.5000
0.5000 0.0000 0.5000
0.5000 0.5000 0.0000
```

Calculated values
formation energy (no corrections)	-26.35	kcal/mol of atoms
magnetic moment	0.00	μB/atom
calculated density	7.9	g/cm3

Record 3
The following is a PBE calculation of an optimized crystal structure of InMo2S2, from Alexandria.

```
InMo2S2
1.0
-1.9441 1.9441 6.8761
1.9441 -1.9441 6.8761
1.9441 1.9441 -6.8761
In Mo S
1 2 2
direct
0.0000 0.0000 0.0000
0.2500 0.7500 0.5000
0.7500 0.2500 0.5000
0.3584 0.3584 0.0000
0.6416 0.6416 0.0000
```

Calculated values
formation energy (no corrections)	-3.53	kcal/mol of atoms
energy relative to the lowest polymorph listed for this composition	0.0	kJ/mol of atoms
magnetic moment	0.00	μB/atom
calculated density	5.9	g/cm3

Record 4
The following is a PBE calculation of an optimized crystal structure of MgFeCo2, from Alexandria.

```
MgFeCo2
1.0
2.5722 -4.0571 0.0000
2.5722 4.0571 0.0000
-0.8542 0.0000 2.3971
Mg Fe Co
1 1 2
direct
0.0000 0.0000 0.0000
0.5000 0.5000 0.0000
0.0000 0.5000 0.5000
0.5000 0.0000 0.5000
```

Calculated values
calculated formation energy	0.180	eV per atom
magnetic moment	1.37	μB/atom
calculated density	6.6	g/cm3